# SrCoCl

A geometry-optimized SrCoCl structure (PBE-GGA, Alexandria via LeMat-Bulk).

extended XYZ file:
```
3
Lattice="0.178 -4.415 5.317 -0.477 -7.116 2.946 3.152 -1.575 0.967" Properties=species:S:1:pos:R:3 pbc="T T T"
Cl 2.409 -7.909 3.953
Sr 1.943 -4.947 3.484
Co 1.175 -8.940 5.708
```

Properties
formation energy without anion corrections	-0.258	eV per atom



# GaCo2Rh2

A geometry-optimized GaCo2Rh2 structure (PBE-GGA, Alexandria via LeMat-Bulk).

extended XYZ file:
```
10
Lattice="7.107 0.000 0.000 0.000 7.107 0.000 0.000 0.000 2.774" Properties=species:S:1:pos:R:3 pbc="T T T"
Ga 0.000 0.000 0.000
Ga 3.553 3.553 0.000
Co 4.692 5.968 1.387
Co 5.968 2.415 1.387
Co 1.139 4.692 1.387
Co 2.415 1.139 1.387
Rh 0.973 2.581 0.000
Rh 4.526 0.973 0.000
Rh 2.581 6.134 0.000
Rh 6.134 4.526 0.000
```

Properties
energy of formation from the pure elements	0.12	eV per atom



# Pr3Si2AsPt9

A geometry-optimized Pr3Si2AsPt9 structure (PBE-GGA, Alexandria via LeMat-Bulk).

extended XYZ file:
```
15
Lattice="6.532 0.000 0.000 -3.266 5.657 0.000 0.000 0.000 8.539" Properties=species:S:1:pos:R:3 pbc="T T T"
Pr 0.000 3.771 5.888
Pr 0.000 0.000 0.000
Pr 3.266 1.886 2.651
Pt 0.000 1.654 2.437
Pt 5.100 0.827 6.102
Pt 1.834 4.830 2.437
Pt 3.266 0.000 0.000
Pt 1.432 0.827 6.102
Pt -1.834 4.830 2.437
Pt 3.266 4.003 6.102
Pt -1.633 2.828 0.000
Pt 1.633 2.828 0.000
As 0.000 0.000 4.270
Si 3.266 1.886 6.968
Si 0.000 3.771 1.572
```

Properties
formation energy without anion corrections	-0.721	eV per atom



# Ba12Sb5P2

A geometry-optimized Ba12Sb5P2 structure (PBE-GGA, Alexandria via LeMat-Bulk).

extended XYZ file:
```
19
Lattice="9.081 0.000 0.000 -4.540 9.557 0.086 0.000 -3.270 10.717" Properties=species:S:1:pos:R:3 pbc="T T T"
P 6.825 0.000 0.000
P 2.256 0.000 0.000
Ba 6.609 3.012 1.005
Ba 2.069 3.276 9.798
Ba 0.000 -2.310 8.750
Ba 2.238 5.319 4.663
Ba 4.540 -0.637 2.175
Ba -2.069 3.276 9.798
Ba 2.471 3.012 1.005
Ba -2.238 5.319 4.663
Ba 2.302 0.969 6.139
Ba 0.000 6.925 8.628
Ba 4.540 8.598 2.052
Ba 6.779 0.969 6.139
Sb 0.000 3.699 6.930
Sb 0.000 -1.635 5.358
Sb 0.000 5.418 1.848
Sb 4.540 2.588 3.872
Sb 4.540 0.869 8.954
```

Properties
formation energy without anion corrections	-0.912	eV per atom



# NaMgCoBr2

A geometry-optimized NaMgCoBr2 structure (PBE-GGA, Alexandria via LeMat-Bulk).

extended XYZ file:
```
5
Lattice="5.021 0.000 0.000 0.000 10.793 0.000 0.000 0.000 5.021" Properties=species:S:1:pos:R:3 pbc="T T T"
Co 2.511 5.397 2.511
Na 0.000 5.397 0.000
Br 2.511 0.000 0.000
Br 0.000 0.000 2.511
Mg 0.000 0.000 0.000
```

Properties
formation energy without anion corrections	0.152	eV per atom



# GdDySnPt

A geometry-optimized GdDySnPt structure (PBE-GGA, Alexandria via LeMat-Bulk).

extended XYZ file:
```
4
Lattice="5.167 0.000 0.000 2.583 4.474 0.000 2.583 1.491 4.219" Properties=species:S:1:pos:R:3 pbc="T T T"
Sn 2.583 1.491 1.055
Dy 5.167 2.983 2.109
Gd 0.000 0.000 0.000
Pt 7.750 4.474 3.164
```

Properties
energy of formation from the pure elements	-0.85	eV per atom



# PmDyScZn

A geometry-optimized PmDyScZn structure (PBE-GGA, Alexandria via LeMat-Bulk).

extended XYZ file:
```
4
Lattice="5.262 0.000 0.000 2.631 4.557 0.000 2.631 1.519 4.297" Properties=species:S:1:pos:R:3 pbc="T T T"
Dy 7.893 4.557 3.222
Pm 2.631 1.519 1.074
Zn 5.262 3.038 2.148
Sc 0.000 0.000 0.000
```

Properties
energy of formation from the pure elements	-0.01	eV per atom



# Ti3Pd5Au2

A geometry-optimized Ti3Pd5Au2 structure (PBE-GGA, Alexandria via LeMat-Bulk).

extended XYZ file:
```
20
Lattice="5.346 0.000 0.000 2.673 8.011 -1.156 2.673 0.094 8.094" Properties=species:S:1:pos:R:3 pbc="T T T"
Ti 1.336 0.000 0.000
Ti 5.346 4.053 1.192
Ti 8.018 6.302 3.117
Ti 5.346 4.052 5.746
Ti 2.673 1.803 3.821
Ti 4.009 0.000 0.000
Au 5.346 1.349 4.736
Au 8.018 3.218 6.335
Au 2.673 4.887 0.603
Au 5.346 6.756 2.202
Pd 4.009 4.053 3.469
Pd 9.355 6.173 5.284
Pd 2.673 0.417 5.779
Pd 8.018 7.688 1.159
Pd 1.336 1.932 1.654
Pd 5.346 2.331 7.417
Pd 6.682 4.053 3.469
Pd 6.682 6.173 5.284
Pd 4.009 1.932 1.654
Pd 5.346 5.774 -0.479
```

Properties
energy of formation from the pure elements	-0.21	eV per atom